[1]
A plane-wave DFT calculation with PBE was carried out for a relaxed Ba2YIr crystal.

Cell and atoms, written as CIF:
```
data_Ba2YIr
_space_group_name_H-M_alt 'P 1'
_space_group_IT_number 1
_space_group_name_Hall 'P 1'
_cell_length_a 3.724
_cell_length_b 3.724
_cell_length_c 10.627
_cell_angle_alpha 90.00
_cell_angle_beta 90.00
_cell_angle_gamma 89.98
loop_
_atom_site_label
_atom_site_type_symbol
_atom_site_fract_x
_atom_site_fract_y
_atom_site_fract_z
_atom_site_occupancy
Ba1 Ba 0.000 0.000 0.965 1
Ir1 Ir 0.000 0.000 0.540 1
Ba2 Ba 0.500 0.500 0.337 1
Y1 Y 0.500 0.500 0.659 1
```

Summary:
size of the total moment: 0.00 μB per cell
energy above the most stable polymorph in this dataset: 0.086 eV per atom

[2]
A plane-wave DFT calculation with PBE was carried out for a relaxed BaY3Ir crystal.

Cell and atoms, written as CIF:
```
data_BaY3Ir
_space_group_name_H-M_alt 'P 1'
_space_group_IT_number 1
_space_group_name_Hall 'P 1'
_cell_length_a 4.780
_cell_length_b 4.780
_cell_length_c 16.380
_cell_angle_alpha 90.00
_cell_angle_beta 90.00
_cell_angle_gamma 120.00
loop_
_atom_site_label
_atom_site_type_symbol
_atom_site_fract_x
_atom_site_fract_y
_atom_site_fract_z
_atom_site_occupancy
Y1 Y 0.333 0.667 0.563 1
Y2 Y 0.667 0.333 0.437 1
Ir1 Ir 0.000 0.000 0.000 1
Ir2 Ir 0.000 0.000 0.500 1
Ba1 Ba 0.333 0.667 0.750 1
Y3 Y 0.000 0.000 0.250 1
Y4 Y 0.667 0.333 0.063 1
Y5 Y 0.333 0.667 0.937 1
Y6 Y 0.000 0.000 0.750 1
Ba2 Ba 0.667 0.333 0.250 1
```

Summary:
size of the total moment: 0.00 μB per cell
energy above the most stable polymorph in this dataset: 1.139 eV per atom

[3]
A plane-wave DFT calculation with PBE was carried out for a relaxed BaY3Ir crystal.

Cell and atoms, written as CIF:
```
data_BaY3Ir
_space_group_name_H-M_alt 'P 1'
_space_group_IT_number 1
_space_group_name_Hall 'P 1'
_cell_length_a 5.531
_cell_length_b 7.849
_cell_length_c 8.242
_cell_angle_alpha 89.98
_cell_angle_beta 90.00
_cell_angle_gamma 90.00
loop_
_atom_site_label
_atom_site_type_symbol
_atom_site_fract_x
_atom_site_fract_y
_atom_site_fract_z
_atom_site_occupancy
Ir1 Ir 0.366 0.436 0.901 1
Ba1 Ba 0.865 0.937 0.901 1
Y1 Y 0.365 0.668 0.151 1
Ir2 Ir 0.365 0.436 0.401 1
Ba2 Ba 0.865 0.936 0.401 1
Y2 Y 0.365 0.204 0.651 1
Y3 Y 0.865 0.436 0.902 1
Y4 Y 0.865 0.436 0.401 1
Y5 Y 0.365 0.668 0.652 1
Y6 Y 0.365 0.204 0.152 1
```

Summary:
size of the total moment: 0.53 μB per cell
energy above the most stable polymorph in this dataset: 0.040 eV per atom

[4]
A plane-wave DFT calculation with PBE was carried out for a relaxed BaY3Ir crystal.

Cell and atoms, written as CIF:
```
data_BaY3Ir
_space_group_name_H-M_alt 'P 1'
_space_group_IT_number 1
_space_group_name_Hall 'P 1'
_cell_length_a 27.012
_cell_length_b 7.910
_cell_length_c 10.781
_cell_angle_alpha 90.00
_cell_angle_beta 162.79
_cell_angle_gamma 90.00
loop_
_atom_site_label
_atom_site_type_symbol
_atom_site_fract_x
_atom_site_fract_y
_atom_site_fract_z
_atom_site_occupancy
Y1 Y 0.342 0.509 0.226 1
Ir1 Ir 0.411 0.247 0.215 1
Y2 Y 0.572 0.130 0.391 1
Ir2 Ir 0.089 0.747 0.285 1
Y3 Y 0.658 0.491 0.774 1
Y4 Y 0.174 0.387 0.486 1
Ir3 Ir 0.911 0.253 0.715 1
Y5 Y 0.326 0.887 0.014 1
Y6 Y 0.674 0.113 0.986 1
Y7 Y 0.928 0.630 0.109 1
Y8 Y 0.842 0.991 0.726 1
Ba1 Ba 0.041 0.179 0.493 1
Y9 Y 0.428 0.870 0.609 1
Y10 Y 0.826 0.613 0.514 1
Ba2 Ba 0.541 0.321 0.993 1
Ba3 Ba 0.959 0.821 0.507 1
Ba4 Ba 0.459 0.679 0.007 1
Y11 Y 0.158 0.009 0.274 1
Y12 Y 0.072 0.370 0.891 1
Ir4 Ir 0.589 0.753 0.785 1
```

Summary:
size of the total moment: 0.00 μB per cell
energy above the most stable polymorph in this dataset: 0.120 eV per atom

[5]
A plane-wave DFT calculation with PBE was carried out for a relaxed Ba2YIr crystal.

Cell and atoms, written as CIF:
```
data_Ba2YIr
_space_group_name_H-M_alt 'P 1'
_space_group_IT_number 1
_space_group_name_Hall 'P 1'
_cell_length_a 11.552
_cell_length_b 11.552
_cell_length_c 8.601
_cell_angle_alpha 47.81
_cell_angle_beta 47.81
_cell_angle_gamma 90.00
loop_
_atom_site_label
_atom_site_type_symbol
_atom_site_fract_x
_atom_site_fract_y
_atom_site_fract_z
_atom_site_occupancy
Y1 Y 0.250 0.750 0.500 1
Ir1 Ir 0.750 0.250 0.500 1
Y2 Y 0.500 0.500 0.000 1
Ba1 Ba 0.375 0.229 0.750 1
Ba2 Ba 0.875 0.021 0.750 1
Ba3 Ba 0.979 0.625 0.250 1
Ir2 Ir 0.000 0.000 0.000 1
Ba4 Ba 0.771 0.125 0.250 1
```

Summary:
size of the total moment: 0.00 μB per cell
energy above the most stable polymorph in this dataset: 0.250 eV per atom

[6]
A plane-wave DFT calculation with PBE was carried out for a relaxed Ba2YIr crystal.

Cell and atoms, written as CIF:
```
data_Ba2YIr
_space_group_name_H-M_alt 'P 1'
_space_group_IT_number 1
_space_group_name_Hall 'P 1'
_cell_length_a 7.221
_cell_length_b 7.221
_cell_length_c 7.221
_cell_angle_alpha 148.44
_cell_angle_beta 129.21
_cell_angle_gamma 61.03
loop_
_atom_site_label
_atom_site_type_symbol
_atom_site_fract_x
_atom_site_fract_y
_atom_site_fract_z
_atom_site_occupancy
Ir1 Ir 0.480 0.480 0.000 1
Ba1 Ba 0.682 0.182 0.500 1
Y1 Y 0.334 0.834 0.500 1
Ba2 Ba 0.004 0.004 0.000 1
```

Summary:
size of the total moment: 0.00 μB per cell
energy above the most stable polymorph in this dataset: 0.136 eV per atom

[7]
A plane-wave DFT calculation with PBE was carried out for a relaxed BaYIr crystal.

Cell and atoms, written as CIF:
```
data_BaYIr
_space_group_name_H-M_alt 'P 1'
_space_group_IT_number 1
_space_group_name_Hall 'P 1'
_cell_length_a 5.068
_cell_length_b 5.068
_cell_length_c 5.068
_cell_angle_alpha 60.00
_cell_angle_beta 60.00
_cell_angle_gamma 60.00
loop_
_atom_site_label
_atom_site_type_symbol
_atom_site_fract_x
_atom_site_fract_y
_atom_site_fract_z
_atom_site_occupancy
Ir1 Ir 0.750 0.750 0.750 1
Ba1 Ba 0.500 0.500 0.500 1
Y1 Y 0.000 0.000 0.000 1
```

Summary:
size of the total moment: 0.00 μB per cell
energy above the most stable polymorph in this dataset: 0.107 eV per atom

[8]
A plane-wave DFT calculation with PBE was carried out for a relaxed BaY3Ir crystal.

Cell and atoms, written as CIF:
```
data_BaY3Ir
_space_group_name_H-M_alt 'P 1'
_space_group_IT_number 1
_space_group_name_Hall 'P 1'
_cell_length_a 3.912
_cell_length_b 10.394
_cell_length_c 8.652
_cell_angle_alpha 85.05
_cell_angle_beta 76.94
_cell_angle_gamma 79.15
loop_
_atom_site_label
_atom_site_type_symbol
_atom_site_fract_x
_atom_site_fract_y
_atom_site_fract_z
_atom_site_occupancy
Y1 Y 0.262 0.217 0.713 1
Ir1 Ir 0.859 0.027 0.708 1
Y2 Y 0.774 0.720 0.185 1
Ba1 Ba 0.535 0.483 0.901 1
Y3 Y 0.520 0.969 0.446 1
Y4 Y 0.377 0.856 0.843 1
Y5 Y 0.117 0.674 0.547 1
Ba2 Ba 0.884 0.346 0.339 1
Ir2 Ir 0.177 0.912 0.188 1
Y6 Y 0.663 0.084 0.045 1
```

Summary:
size of the total moment: 0.00 μB per cell
energy above the most stable polymorph in this dataset: 0.023 eV per atom

[9]
A plane-wave DFT calculation with PBE was carried out for a relaxed Ba2YIr crystal.

Cell and atoms, written as CIF:
```
data_Ba2YIr
_space_group_name_H-M_alt 'P 1'
_space_group_IT_number 1
_space_group_name_Hall 'P 1'
_cell_length_a 5.605
_cell_length_b 5.605
_cell_length_c 5.605
_cell_angle_alpha 60.00
_cell_angle_beta 60.00
_cell_angle_gamma 60.00
loop_
_atom_site_label
_atom_site_type_symbol
_atom_site_fract_x
_atom_site_fract_y
_atom_site_fract_z
_atom_site_occupancy
Y1 Y 0.000 0.000 0.000 1
Ba1 Ba 0.750 0.750 0.750 1
Ir1 Ir 0.500 0.500 0.500 1
Ba2 Ba 0.250 0.250 0.250 1
```

Summary:
size of the total moment: 0.00 μB per cell
energy above the most stable polymorph in this dataset: 0.749 eV per atom

[10]
A plane-wave DFT calculation with PBE was carried out for a relaxed BaY3Ir crystal.

Cell and atoms, written as CIF:
```
data_BaY3Ir
_space_group_name_H-M_alt 'P 1'
_space_group_IT_number 1
_space_group_name_Hall 'P 1'
_cell_length_a 8.904
_cell_length_b 7.877
_cell_length_c 5.590
_cell_angle_alpha 90.00
_cell_angle_beta 90.00
_cell_angle_gamma 116.25
loop_
_atom_site_label
_atom_site_type_symbol
_atom_site_fract_x
_atom_site_fract_y
_atom_site_fract_z
_atom_site_occupancy
Y1 Y 0.081 0.787 0.779 1
Y2 Y 0.345 0.170 0.279 1
Y3 Y 0.581 0.518 0.779 1
Ba1 Ba 0.321 0.658 0.279 1
Y4 Y 0.816 0.405 0.279 1
Y5 Y 0.081 0.287 0.779 1
Y6 Y 0.581 0.057 0.779 1
Ba2 Ba 0.840 0.917 0.279 1
Ir1 Ir 0.839 0.417 0.779 1
Ir2 Ir 0.322 0.158 0.779 1
```

Summary:
size of the total moment: 0.00 μB per cell
energy above the most stable polymorph in this dataset: 0.029 eV per atom

[11]
A plane-wave DFT calculation with PBE was carried out for a relaxed Ba2YIr crystal.

Cell and atoms, written as CIF:
```
data_Ba2YIr
_space_group_name_H-M_alt 'P 1'
_space_group_IT_number 1
_space_group_name_Hall 'P 1'
_cell_length_a 4.347
_cell_length_b 4.347
_cell_length_c 10.649
_cell_angle_alpha 78.20
_cell_angle_beta 78.20
_cell_angle_gamma 59.97
loop_
_atom_site_label
_atom_site_type_symbol
_atom_site_fract_x
_atom_site_fract_y
_atom_site_fract_z
_atom_site_occupancy
Y1 Y 0.216 0.216 0.353 1
Ba1 Ba 0.989 0.989 0.034 1
Ir1 Ir 0.511 0.511 0.466 1
Ba2 Ba 0.784 0.784 0.648 1
```

Summary:
size of the total moment: 0.00 μB per cell
energy above the most stable polymorph in this dataset: 0.033 eV per atom

[12]
A plane-wave DFT calculation with PBE was carried out for a relaxed Ba2YIr crystal.

Cell and atoms, written as CIF:
```
data_Ba2YIr
_space_group_name_H-M_alt 'P 1'
_space_group_IT_number 1
_space_group_name_Hall 'P 1'
_cell_length_a 4.461
_cell_length_b 8.110
_cell_length_c 8.109
_cell_angle_alpha 39.12
_cell_angle_beta 90.00
_cell_angle_gamma 90.00
loop_
_atom_site_label
_atom_site_type_symbol
_atom_site_fract_x
_atom_site_fract_y
_atom_site_fract_z
_atom_site_occupancy
Ba1 Ba 0.000 0.389 0.389 1
Ir1 Ir 0.500 0.250 0.250 1
Y1 Y 0.500 0.750 0.750 1
Ba2 Ba 0.000 0.111 0.111 1
```

Summary:
size of the total moment: 0.00 μB per cell
energy above the most stable polymorph in this dataset: 0.093 eV per atom